Record 1
# KGdZnS3

Crystalline KGdZnS3 at its relaxed geometry (PBE-GGA, the Open Quantum Materials Database).

Output
The value obtained for the magnetization is 0.0 μB per cell. As for the space group: No. 11. As for the total energy: -4.716 eV per atom.

Unit cell a=8.664 b=4.007 c=9.504 alpha=90.00 beta=106.71 gamma=90.00
Atoms (fractional coordinates):
K1 0.790 0.750 0.764
K2 0.210 0.250 0.236
Gd1 0.672 0.250 0.142
Gd2 0.328 0.750 0.858
S1 0.459 0.750 0.155
S2 0.802 0.250 0.464
S3 0.105 0.250 0.855
S4 0.541 0.250 0.845
S5 0.895 0.750 0.145
S6 0.198 0.750 0.536
Zn1 0.917 0.750 0.392
Zn2 0.083 0.250 0.608

---

Record 2
# KGdZnS3

Crystalline KGdZnS3 at its relaxed geometry (PBE-GGA, the Open Quantum Materials Database).

Output
The value obtained for the magnetization is 0.0 μB per cell. As for the space group: No. 62. As for the total energy: -4.657 eV per atom.

Unit cell a=9.522 b=4.040 c=15.028 alpha=90.00 beta=90.00 gamma=90.00
Atoms (fractional coordinates):
S1 0.017 0.250 0.899
S2 0.215 0.750 0.717
S3 0.483 0.750 0.399
S4 0.983 0.750 0.101
S5 0.285 0.250 0.217
S6 0.171 0.250 0.474
S7 0.715 0.750 0.783
S8 0.829 0.750 0.526
S9 0.517 0.250 0.601
S10 0.785 0.250 0.283
S11 0.329 0.750 0.974
S12 0.671 0.250 0.026
Gd1 0.814 0.750 0.944
Gd2 0.686 0.250 0.444
Gd3 0.314 0.750 0.556
Gd4 0.186 0.250 0.056
Zn1 0.658 0.750 0.637
Zn2 0.842 0.250 0.137
Zn3 0.342 0.250 0.363
Zn4 0.158 0.750 0.863
K1 0.459 0.250 0.815
K2 0.959 0.250 0.685
K3 0.541 0.750 0.185
K4 0.041 0.750 0.315

---

Record 3
# KGdZnS3

Crystalline KGdZnS3 at its relaxed geometry (PBE-GGA, the Open Quantum Materials Database).

Output
The value obtained for the magnetization is 0.0 μB per cell. As for the space group: No. 62. As for the total energy: -4.736 eV per atom.

Unit cell a=10.678 b=4.004 c=14.079 alpha=90.00 beta=90.00 gamma=90.00
Atoms (fractional coordinates):
Gd1 0.984 0.250 0.760
Gd2 0.516 0.750 0.260
Gd3 0.016 0.750 0.240
Gd4 0.484 0.250 0.740
Zn1 0.733 0.750 0.786
Zn2 0.233 0.750 0.714
Zn3 0.767 0.250 0.286
Zn4 0.267 0.250 0.214
S1 0.237 0.250 0.813
S2 0.590 0.250 0.382
S3 0.410 0.750 0.618
S4 0.545 0.750 0.869
S5 0.763 0.750 0.187
S6 0.263 0.750 0.313
S7 0.455 0.250 0.131
S8 0.090 0.250 0.118
S9 0.910 0.750 0.882
S10 0.045 0.750 0.631
S11 0.737 0.250 0.687
S12 0.955 0.250 0.369
K1 0.220 0.250 0.495
K2 0.780 0.750 0.505
K3 0.720 0.250 0.005
K4 0.280 0.750 0.995

---

Record 4
# KGdZnS3

Crystalline KGdZnS3 at its relaxed geometry (PBE-GGA, the Open Quantum Materials Database).

Output
The value obtained for the magnetization is 0.0 μB per cell. As for the space group: No. 62. As for the total energy: -4.713 eV per atom.

Unit cell a=14.421 b=4.008 c=10.821 alpha=90.00 beta=90.00 gamma=90.00
Atoms (fractional coordinates):
K1 0.765 0.250 0.042
K2 0.265 0.250 0.458
K3 0.735 0.750 0.542
K4 0.235 0.750 0.958
Gd1 0.480 0.250 0.154
Gd2 0.980 0.250 0.346
Gd3 0.020 0.750 0.654
Gd4 0.520 0.750 0.846
S1 0.403 0.250 0.926
S2 0.630 0.250 0.745
S3 0.097 0.750 0.426
S4 0.921 0.750 0.891
S5 0.870 0.750 0.245
S6 0.579 0.250 0.391
S7 0.903 0.250 0.574
S8 0.421 0.750 0.609
S9 0.079 0.250 0.109
S10 0.370 0.750 0.255
S11 0.597 0.750 0.074
S12 0.130 0.250 0.755
Zn1 0.015 0.250 0.901
Zn2 0.515 0.250 0.599
Zn3 0.485 0.750 0.401
Zn4 0.985 0.750 0.099